(1)
The following is a PBE-GGA calculation of a geometry-optimized CaTb2PrSe4 structure, from Alexandria.

a = 7.2086 Å, b = 4.1359 Å, c = 7.2439 Å
α = 90.00°, β = 109.05°, γ = 90.00°
Last column: nearest neighbours and their distance in Å.
Space group P2/m (No. 10)
Symmetry-distinct sites (fractional):
Ca 0.0000 0.0000 0.0000 [1 per cell]  6 Se 2.94-2.96
Tb 0.5000 0.0000 0.5000 [1 per cell]  6 Se 2.93-2.94
Tb 0.5000 0.5000 0.0000 [1 per cell]  6 Se 2.89
Pr 0.0000 0.5000 0.5000 [1 per cell]  6 Se 3.00
Se 0.2568 0.5000 0.2471 [2 per cell]  3 Tb 2.89-2.93, 2 Ca 2.96, 1 Pr 3.00
Se 0.2598 0.0000 0.7596 [2 per cell]  3 Tb 2.89-2.94, 1 Ca 2.94, 2 Pr 3.00

Results
The spin magnetization is 0.00 μB/cell.

(2)
The following is a PBE-GGA calculation of a geometry-optimized CaTbPr2Se4 structure, from Alexandria.

a = 7.2435 Å, b = 4.1663 Å, c = 7.3582 Å
α = 90.00°, β = 108.92°, γ = 90.00°
Last column: nearest neighbours and their distance in Å.
Space group P2/m (No. 10)
Symmetry-distinct sites (fractional):
Ca 0.0000 0.0000 0.0000 [1 per cell]  6 Se 2.91-2.93
Tb 0.5000 0.5000 0.0000 [1 per cell]  6 Se 2.91
Pr 0.0000 0.5000 0.5000 [1 per cell]  6 Se 3.03-3.04
Pr 0.5000 0.0000 0.5000 [1 per cell]  6 Se 3.02-3.03
Se 0.2474 0.5000 0.2370 [2 per cell]  1 Tb 2.91, 2 Ca 2.93, 3 Pr 3.02-3.03
Se 0.2553 0.0000 0.7646 [2 per cell]  2 Tb 2.91, 1 Ca 2.91, 3 Pr 3.03-3.04

Results
The spin magnetization is 0.00 μB/cell.

(3)
The following is a PBE-GGA calculation of a geometry-optimized CaTb3Pr4Se8 structure, from Alexandria.

a = 8.3117 Å, b = 8.3117 Å, c = 20.8957 Å
α = 90.00°, β = 90.00°, γ = 120.00°
Last column: nearest neighbours and their distance in Å.
Space group R-3m (No. 166, hexagonal axes)
Symmetry-distinct sites (fractional):
Ca 0.0000 0.0000 0.0000 [3 per cell]  6 Se 2.91
Tb 0.0000 0.5000 0.0000 [9 per cell]  6 Se 2.90
Pr 0.0000 0.0000 0.5000 [3 per cell]  6 Se 3.02
Pr 0.0000 0.5000 0.5000 [9 per cell]  6 Se 3.03
Se 0.0000 0.0000 0.2552 [6 per cell]  3 Tb 2.90, 3 Pr 3.03
Se 0.0006 0.5003 0.2551 [18 per cell]  2 Tb 2.90, 1 Ca 2.91, 3 Pr 3.02-3.03

Results
The spin magnetization is 0.00 μB/cell.

(4)
The following is a PBE-GGA calculation of a geometry-optimized CaTb3Pr2Se6 structure, from Alexandria.

a = 18.2059 Å, b = 4.1400 Å, c = 8.4047 Å
α = 90.00°, β = 103.57°, γ = 90.00°
Last column: nearest neighbours and their distance in Å.
Space group C2/m (No. 12)
Symmetry-distinct sites (fractional):
Ca 0.0000 0.0000 0.0000 [2 per cell]  6 Se 2.93-2.96
Tb 0.0000 0.0000 0.5000 [2 per cell]  6 Se 2.85-2.94
Tb 0.1699 0.5000 0.8300 [4 per cell]  6 Se 2.86-2.96
Pr 0.1712 0.5000 0.3412 [4 per cell]  6 Se 2.98-3.08
Se 0.0026 0.5000 0.7498 [4 per cell]  3 Tb 2.94-2.96, 2 Ca 2.96, 1 Pr 3.08
Se 0.1608 0.0000 0.5912 [4 per cell]  3 Tb 2.85-2.86, 3 Pr 2.98-2.99
Se 0.1656 0.0000 0.0723 [4 per cell]  3 Tb 2.92, 1 Ca 2.93, 2 Pr 3.05

Results
The spin magnetization is 0.00 μB/cell.

Summary of formation energy without anion corrections in eV/atom
-1.84 -1.86 -1.83 -1.84
(order as listed above)